Entry 1:
Material: Ho2Fe12Si7
Method: DFT, PBE-GGA
State: optimized geometry

Output
DOS at the Fermi energy = 0.925 states/eV per atom
Calculated density = 7.39 g/cm³
Volume = 268.80 Å³ per cell
E_form (uncorrected) = -0.426 eV/atom

Lattice parameters (Å, degrees): 9.1196 9.1196 3.7321 90.00 90.00 120.00
Closest atoms and distances in Å follow each position.
Space group P-6 (No. 174)
One atom of each set of equivalent atoms:
Ho1 0.0000 0.0000 0.0000  6 Si 2.93, 12 Fe 3.02-3.10
Ho2 0.3333 0.6667 0.5000  6 Si 2.93, 9 Fe 3.04-3.07
Fe1 0.0579 0.2958 0.5000  4 Si 2.37-2.40, 3 Fe 2.49-2.59
Fe2 0.1082 0.7363 0.0000  4 Si 2.32-2.38, 3 Fe 2.49-2.50
Fe3 0.3864 0.1802 0.0000  4 Si 2.22-2.26
Fe4 0.5557 0.4350 0.5000  5 Si 2.36-2.51, 1 Fe 2.59
Si1 0.0586 0.4608 0.0000  7 Fe 2.25-2.44
Si2 0.2693 0.2176 0.5000  7 Fe 2.26-2.38
Si3 0.6667 0.3333 0.0000  3 Fe 2.22

---

Entry 2:
Material: SrSiH2S
Method: DFT, PBE-GGA
State: optimized geometry

Output
DOS at the Fermi energy = 0.524 states/eV per atom
Calculated density = 2.27 g/cm³
Volume = 109.38 Å³ per cell
Total energy = -3.644 eV per atom

Lattice parameters (Å, degrees): 3.9020 3.9020 7.1838 90.00 90.00 90.00
Closest atoms and distances in Å follow each position.
Space group P4/mmm (No. 123)
One atom of each set of equivalent atoms:
Sr1 0.0000 0.0000 0.0000  4 S 2.76
Si1 0.0000 0.0000 0.5000  4 H 1.95
H1 0.0000 0.5000 0.5000  2 Si 1.95
S1 0.5000 0.5000 0.0000  4 Sr 2.76

---

Entry 3:
Material: Na2ErMnTe4
Method: DFT, PBE-GGA
State: optimized geometry

Output
DOS at the Fermi energy = 0.315 states/eV per atom
Calculated density = 5.46 g/cm³
Volume = 236.95 Å³ per cell
E_form (uncorrected) = -0.838 eV/atom

Lattice parameters (Å, degrees): 7.3203 4.2666 7.9730 90.00 107.91 90.00
Closest atoms and distances in Å follow each position.
Space group P2/m (No. 10)
One atom of each set of equivalent atoms:
Na1 0.0000 0.0000 0.0000  6 Te 3.32-3.33
Na2 0.5000 0.5000 0.0000  6 Te 3.18
Er1 0.0000 0.5000 0.5000  6 Te 3.03-3.04
Mn1 0.5000 0.0000 0.5000  6 Te 2.86-2.90
Te1 0.2598 0.0000 0.7227  1 Mn 2.86, 2 Er 3.04, 2 Na 3.18
Te2 0.2781 0.5000 0.2861  2 Mn 2.90, 1 Er 3.03, 1 Na 3.18

---

Entry 4:
Material: BeTl4Sb
Method: DFT, PBE-GGA
State: optimized geometry

Output
DOS at the Fermi energy = 0.733 states/eV per atom
Calculated density = 8.51 g/cm³
Volume = 740.14 Å³ per cell
E_form (uncorrected) = 0.633 eV/atom

Lattice parameters (Å, degrees): 9.0456 9.0456 9.0456 90.00 90.00 90.00
Closest atoms and distances in Å follow each position.
Space group F-43m (No. 216)
One atom of each set of equivalent atoms:
Be1 0.0000 0.0000 0.0000  12 Tl 3.75, 4 Sb 3.92
Tl1 0.1250 0.1250 0.3750  6 Tl 3.20
Sb1 0.2500 0.2500 0.7500  12 Tl 3.75, 4 Be 3.92

---

Entry 5:
Material: PaNbTe2
Method: DFT, PBE-GGA
State: optimized geometry

Output
Offset from the most stable computed form = 0 meV per atom
DOS at the Fermi energy = 0.685 states/eV per atom
Calculated density = 7.73 g/cm³
Volume = 497.40 Å³ per cell
E_form (uncorrected) = -0.452 eV/atom

Lattice parameters (Å, degrees): 9.0263 7.1046 8.6848 90.00 116.73 90.00
Closest atoms and distances in Å follow each position.
Space group P2_1/c (No. 14)
One atom of each set of equivalent atoms:
Pa1 0.0145 0.0057 0.3053  2 Nb 2.78-3.04
Nb1 0.1165 0.6565 0.5781  2 Pa 2.78-3.04, 4 Te 2.84-2.91, 1 Nb 2.94
Te1 0.2258 0.2335 0.1369  2 Nb 2.85-2.91, 1 Pa 3.11
Te2 0.3275 0.7347 0.4227  2 Nb 2.84

---

Entry 6:
Material: Er2MgGa9
Method: DFT, PBE-GGA
State: optimized geometry

Output
DOS at the Fermi energy = 0.264 states/eV per atom
E_form = -36 kJ per mole of atoms
Calculated density = 7.20 g/cm³
Volume = 227.56 Å³ per cell

Lattice parameters (Å, degrees): 4.2470 4.2470 12.6161 90.00 90.00 90.00
Closest atoms and distances in Å follow each position.
Space group P4/mmm (No. 123)
One atom of each set of equivalent atoms:
Er1 0.0000 0.0000 0.1680  12 Ga 3.00-3.05
Mg1 0.0000 0.0000 0.5000  12 Ga 2.92-3.00
Ga1 0.0000 0.5000 0.0000  8 Ga 2.98-3.00, 4 Er 3.00
Ga2 0.0000 0.5000 0.3412  2 Mg 2.92, 8 Ga 2.92-3.07, 2 Er 3.05
Ga3 0.5000 0.5000 0.1659  8 Ga 2.98-3.07, 4 Er 3.00
Ga4 0.5000 0.5000 0.5000  8 Ga 2.92, 4 Mg 3.00